No. 1
Tl2PSe3: single point on PBEsol structure, SCAN.

a b c (Å): 8.8957 11.9592 12.3001
angles (deg): 99.52 90.00 90.00
Atoms (fractional coordinates):
1 P 0.9212 0.4313 0.0172
2 P 0.4212 0.5687 0.4828
3 P 0.0788 0.5687 0.9828
4 P 0.5788 0.4313 0.5172
5 P 0.0747 0.0055 0.4265
6 P 0.5747 0.9945 0.0735
7 P 0.9253 0.9945 0.5735
8 P 0.4253 0.0055 0.9265
9 Se 0.8234 0.1627 0.6239
10 Se 0.3234 0.8373 0.8761
11 Se 0.1766 0.8373 0.3761
12 Se 0.6766 0.1627 0.1239
13 Se 0.1221 0.6680 0.1491
14 Se 0.6221 0.3320 0.3509
15 Se 0.8779 0.3320 0.8509
16 Se 0.3779 0.6680 0.6491
17 Se 0.7597 0.8625 0.5072
18 Se 0.2597 0.1375 0.9928
19 Se 0.2403 0.1375 0.4928
20 Se 0.7403 0.8625 0.0072
21 Se 0.7183 0.5223 0.0873
22 Se 0.2183 0.4777 0.4127
23 Se 0.2817 0.4777 0.9127
24 Se 0.7817 0.5223 0.5873
25 Se 0.0280 0.3352 0.1327
26 Se 0.5280 0.6648 0.3673
27 Se 0.9720 0.6648 0.8673
28 Se 0.4720 0.3352 0.6327
29 Se 0.9283 0.0570 0.2976
30 Se 0.4283 0.9430 0.2024
31 Se 0.0717 0.9430 0.7024
32 Se 0.5717 0.0570 0.7976
33 Tl 0.9588 0.2967 0.4493
34 Tl 0.4588 0.7033 0.0507
35 Tl 0.0412 0.7033 0.5507
36 Tl 0.5412 0.2967 0.9493
37 Tl 0.8957 0.0912 0.9264
38 Tl 0.3957 0.9088 0.5736
39 Tl 0.1043 0.9088 0.0736
40 Tl 0.6043 0.0912 0.4264
41 Tl 0.8132 0.7956 0.2422
42 Tl 0.3132 0.2044 0.2578
43 Tl 0.1868 0.2044 0.7578
44 Tl 0.6868 0.7956 0.7422
45 Tl 0.6455 0.5279 0.8165
46 Tl 0.1455 0.4721 0.6835
47 Tl 0.3545 0.4721 0.1835
48 Tl 0.8545 0.5279 0.3165

Properties
M_tot: 0.000 Bohr magnetons per cell
Energy above the most stable polymorph in this dataset: 0.000 eV/atom

---

No. 2
Tl2PSe: single point on PBEsol structure, SCAN.

a b c (Å): 4.1362 4.5445 6.2183
angles (deg): 90.00 109.43 90.00
Atoms (fractional coordinates):
1 P 0.7870 0.0000 0.5739
2 Se 0.7028 0.5000 0.4056
3 Tl 0.1042 0.0000 0.2084
4 Tl 0.3996 0.5000 0.7992

Properties
M_tot: 0.000 Bohr magnetons per cell
Total DFT energy (no corrections): -43.73 eV/atom

---

No. 3
Tl3PSe: single point on PBEsol structure, SCAN.

a b c (Å): 5.2881 5.2881 5.2881
angles (deg): 90.00 90.00 90.00
Atoms (fractional coordinates):
1 P 0.0000 0.0000 0.0000
2 Tl 0.0000 0.5000 0.0000
3 Tl 0.0000 0.0000 0.5000
4 Tl 0.5000 0.0000 0.0000
5 Se 0.5000 0.5000 0.5000

Properties
M_tot: 0.000 Bohr magnetons per cell
Total DFT energy (no corrections): -49.32 eV/atom

---

No. 4
Tl2PSe3: single point on PBEsol structure, SCAN.

a b c (Å): 6.6621 6.5868 8.8159
angles (deg): 93.63 111.47 113.03
Atoms (fractional coordinates):
1 P 0.4481 0.5601 0.3157
2 P 0.5519 0.4399 0.6843
3 Se 0.2149 0.4557 0.5221
4 Se 0.7851 0.5443 0.4779
5 Se 0.2437 0.2844 0.0810
6 Se 0.7563 0.7156 0.9190
7 Se 0.4663 0.0925 0.7282
8 Se 0.5337 0.9075 0.2718
9 Tl 0.0947 0.9468 0.3284
10 Tl 0.9053 0.0532 0.6716
11 Tl 0.2379 0.6749 0.8899
12 Tl 0.7621 0.3251 0.1101

Properties
M_tot: 0.000 Bohr magnetons per cell
Energy above the most stable polymorph in this dataset: 0.108 eV/atom

---

No. 5
TlV6PSe7: single point on PBEsol structure, SCAN.

a b c (Å): 3.3111 9.4181 9.4181
angles (deg): 120.00 90.00 90.00
Atoms (fractional coordinates):
1 Tl 0.7224 0.0000 0.0000
2 V 0.2343 0.8702 0.3760
3 V 0.2343 0.5059 0.1298
4 V 0.2343 0.6240 0.4941
5 V 0.7339 0.1190 0.6315
6 V 0.7339 0.5125 0.8810
7 V 0.7339 0.3685 0.4875
8 P 0.7343 0.6667 0.3333
9 Se 0.2336 0.7184 0.0553
10 Se 0.2336 0.3369 0.2816
11 Se 0.2336 0.9447 0.6631
12 Se 0.7345 0.2984 0.9520
13 Se 0.7345 0.6535 0.7016
14 Se 0.7345 0.0480 0.3465
15 Se 0.2339 0.3333 0.6667

Properties
M_tot: 0.002 Bohr magnetons per cell
Total DFT energy (no corrections): -22.63 eV/atom

---

No. 6
UPSe: single point on PBEsol structure, SCAN.

a b c (Å): 3.8200 3.8200 8.0730
angles (deg): 90.00 90.00 90.00
Site moments in Bohr magnetons follow the coordinates.
Atoms (fractional coordinates):
1 U 0.0000 0.5000 0.7398  2.18
2 U 0.5000 0.0000 0.2602  2.18
3 P 0.5000 0.5000 0.0000  -0.06
4 P 0.0000 0.0000 0.0000  -0.06
5 Se 0.5000 0.0000 0.6352  -0.10
6 Se 0.0000 0.5000 0.3648  -0.10

Properties
M_tot: 4.505 Bohr magnetons per cell
Total DFT energy (no corrections): -45.59 eV/atom

---

No. 7
P3WSe: single point on PBEsol structure, SCAN.

a b c (Å): 4.6413 4.6413 4.6413
angles (deg): 90.00 90.00 90.00
Atoms (fractional coordinates):
1 P 0.0000 0.5000 0.0000
2 P 0.0000 0.0000 0.5000
3 P 0.5000 0.0000 0.0000
4 Se 0.5000 0.5000 0.5000
5 W 0.0000 0.0000 0.0000

Properties
M_tot: 0.000 Bohr magnetons per cell
Total DFT energy (no corrections): -23.51 eV/atom

---

No. 8
YP2Se: single point on PBEsol structure, SCAN.

a b c (Å): 3.6584 3.9760 5.7990
angles (deg): 108.66 90.00 90.00
Atoms (fractional coordinates):
1 P 0.0000 0.0765 0.2018
2 P 0.0000 0.9235 0.7982
3 Se 0.5000 0.5000 0.5000
4 Y 0.5000 0.5000 0.0000

Properties
M_tot: 0.000 Bohr magnetons per cell
Total DFT energy (no corrections): -17.86 eV/atom

---

No. 9
YP2Se: single point on PBEsol structure, SCAN.

a b c (Å): 3.8999 3.8999 5.5668
angles (deg): 110.50 110.50 90.00
Atoms (fractional coordinates):
1 P 0.7500 0.2500 0.5000
2 P 0.2500 0.7500 0.5000
3 Se 0.5000 0.5000 0.0000
4 Y 0.0000 0.0000 0.0000

Properties
M_tot: 0.000 Bohr magnetons per cell
Total DFT energy (no corrections): -17.72 eV/atom

---

No. 10
YP2Se: single point on PBEsol structure, SCAN.

a b c (Å): 3.8080 3.8080 5.2483
angles (deg): 90.00 90.00 90.00
Atoms (fractional coordinates):
1 P 0.0000 0.5000 0.0000
2 P 0.5000 0.0000 0.0000
3 Se 0.5000 0.5000 0.5000
4 Y 0.0000 0.0000 0.5000

Properties
M_tot: 0.000 Bohr magnetons per cell
Total DFT energy (no corrections): -17.67 eV/atom

---

No. 11
ZnPSe: single point on PBEsol structure, SCAN.

a b c (Å): 4.3109 4.3109 4.3109
angles (deg): 60.00 60.00 60.00
Atoms (fractional coordinates):
1 P 0.0000 0.0000 0.0000
2 Zn 0.7500 0.7500 0.7500
3 Se 0.5000 0.5000 0.5000

Properties
M_tot: 0.000 Bohr magnetons per cell
Energy above the most stable polymorph in this dataset: 0.333 eV/atom

---

No. 12
ZnP2Se: single point on PBEsol structure, SCAN.

a b c (Å): 3.0773 4.5210 4.5260
angles (deg): 90.00 90.00 90.00
Atoms (fractional coordinates):
1 P 0.0000 0.0000 0.0000
2 P 0.5000 0.5000 0.0000
3 Se 0.5000 0.0000 0.5000
4 Zn 0.0000 0.5000 0.5000

Properties
M_tot: 0.000 Bohr magnetons per cell
Energy above the most stable polymorph in this dataset: 0.345 eV/atom

---

No. 13
ZnPSe2: single point on PBEsol structure, SCAN.

a b c (Å): 3.2304 3.2304 6.5952
angles (deg): 90.00 90.00 90.00
Atoms (fractional coordinates):
1 P 0.5000 0.5000 0.5000
2 Se 0.0000 0.0000 0.7449
3 Se 0.0000 0.0000 0.2551
4 Zn 0.5000 0.5000 0.0000

Properties
M_tot: 0.000 Bohr magnetons per cell
Energy above the most stable polymorph in this dataset: 0.327 eV/atom

---

No. 14
ZnP2Se: single point on PBEsol structure, SCAN.

a b c (Å): 3.3738 3.3738 7.8157
angles (deg): 102.46 102.46 90.00
Atoms (fractional coordinates):
1 P 0.7500 0.2500 0.5000
2 P 0.2500 0.7500 0.5000
3 Se 0.5000 0.5000 0.0000
4 Zn 0.0000 0.0000 0.0000

Properties
M_tot: 0.000 Bohr magnetons per cell
Energy above the most stable polymorph in this dataset: 0.000 eV/atom

---

No. 15
ZnPSe2: single point on PBEsol structure, SCAN.

a b c (Å): 3.5054 3.5246 7.1171
angles (deg): 90.00 90.00 90.00
Atoms (fractional coordinates):
1 P 0.0000 0.5000 0.5000
2 Se 0.0000 0.0000 0.0000
3 Se 0.5000 0.0000 0.5000
4 Zn 0.5000 0.5000 0.0000

Properties
M_tot: 0.000 Bohr magnetons per cell
Energy above the most stable polymorph in this dataset: 0.000 eV/atom

---

No. 16
ZnP2Se2: single point on PBEsol structure, SCAN.

a b c (Å): 5.1448 5.2922 5.1448
angles (deg): 60.92 90.00 119.08
Atoms (fractional coordinates):
1 P 0.2952 0.5905 0.7048
2 P 0.7048 0.4095 0.2952
3 Se 0.7500 0.5000 0.7500
4 Se 0.2500 0.5000 0.2500
5 Zn 0.0000 0.0000 0.0000

Properties
M_tot: 0.000 Bohr magnetons per cell
Total DFT energy (no corrections): -14.63 eV/atom

---

No. 17
Zn4PSe: single point on PBEsol structure, SCAN.

a b c (Å): 5.1306 5.1306 5.1306
angles (deg): 60.00 60.00 60.00
Atoms (fractional coordinates):
1 P 0.7500 0.7500 0.7500
2 Se 0.0000 0.0000 0.0000
3 Zn 0.3753 0.3753 0.3753
4 Zn 0.3753 0.3753 0.8740
5 Zn 0.8740 0.3753 0.3753
6 Zn 0.3753 0.8740 0.3753

Properties
M_tot: 0.000 Bohr magnetons per cell
Total DFT energy (no corrections): -13.71 eV/atom

---

No. 18
ZnPSe: single point on PBEsol structure, SCAN.

a b c (Å): 3.4604 3.4604 5.7280
angles (deg): 107.58 107.58 90.00
Atoms (fractional coordinates):
1 P 0.1040 0.1040 0.2080
2 Zn 0.5808 0.5808 0.1616
3 Se 0.3152 0.3152 0.6303

Properties
M_tot: 0.000 Bohr magnetons per cell
Energy above the most stable polymorph in this dataset: 0.000 eV/atom

---

No. 19
ZnPSe: single point on PBEsol structure, SCAN.

a b c (Å): 4.3282 4.3282 4.3282
angles (deg): 60.00 60.00 60.00
Atoms (fractional coordinates):
1 P 0.7500 0.7500 0.7500
2 Zn 0.5000 0.5000 0.5000
3 Se 0.0000 0.0000 0.0000

Properties
M_tot: 0.000 Bohr magnetons per cell
Energy above the most stable polymorph in this dataset: 0.466 eV/atom

---

No. 20
ZrPSe2: single point on PBEsol structure, SCAN.

a b c (Å): 3.4689 3.4689 8.4807
angles (deg): 78.20 78.20 60.00
Atoms (fractional coordinates):
1 P 0.5000 0.5000 0.5000
2 Se 0.8948 0.8948 0.3156
3 Se 0.1052 0.1052 0.6844
4 Zr 0.0000 0.0000 0.0000

Properties
M_tot: 0.000 Bohr magnetons per cell
Total DFT energy (no corrections): -20.20 eV/atom

---

No. 21
ZrPSe2: single point on PBEsol structure, SCAN.

a b c (Å): 3.3890 3.3890 8.3928
angles (deg): 78.35 78.35 60.00
Atoms (fractional coordinates):
1 P 0.2485 0.2485 0.2544
2 Se 0.9832 0.9832 0.0503
3 Se 0.7658 0.7658 0.7025
4 Zr 0.5024 0.5024 0.4928

Properties
M_tot: 0.000 Bohr magnetons per cell
Total DFT energy (no corrections): -20.71 eV/atom

---

No. 22
ZrPSe: single point on PBEsol structure, SCAN.

a b c (Å): 3.1109 3.1109 6.8174
angles (deg): 100.19 100.19 102.96
Atoms (fractional coordinates):
1 P 0.9684 0.9684 0.9369
2 Se 0.6940 0.6940 0.3879
3 Zr 0.3376 0.3376 0.6752

Properties
M_tot: 0.000 Bohr magnetons per cell
Total DFT energy (no corrections): -21.00 eV/atom

---

No. 23
ZrPSe2: single point on PBEsol structure, SCAN.

a b c (Å): 3.7798 3.7798 5.4187
angles (deg): 90.00 90.00 90.51
Atoms (fractional coordinates):
1 P 0.0000 0.0000 0.5000
2 Se 0.7437 0.2563 0.0000
3 Se 0.2563 0.7437 0.0000
4 Zr 0.5000 0.5000 0.5000

Properties
M_tot: 0.000 Bohr magnetons per cell
Total DFT energy (no corrections): -20.71 eV/atom

---

No. 24
SiP5: single point on PBEsol structure, SCAN.

a b c (Å): 2.3807 2.3807 15.7310
angles (deg): 90.00 90.00 90.00
Atoms (fractional coordinates):
1 P 0.0000 0.0000 0.8425
2 P 0.0000 0.0000 0.1575
3 P 0.5000 0.5000 0.6659
4 P 0.5000 0.5000 0.3341
5 P 0.0000 0.0000 0.5000
6 Si 0.5000 0.5000 0.0000

Properties
M_tot: 0.000 Bohr magnetons per cell
Total DFT energy (no corrections): -9.56 eV/atom

---

No. 25
Si3P5: single point on PBEsol structure, SCAN.

a b c (Å): 4.7852 4.9227 4.9227
angles (deg): 96.78 90.00 90.00
Atoms (fractional coordinates):
1 P 0.0000 0.0000 0.0000
2 P 0.0000 0.0000 0.5000
3 P 0.0000 0.5000 0.0000
4 P 0.5000 0.3196 0.3196
5 P 0.5000 0.6804 0.6804
6 Si 0.0000 0.5000 0.5000
7 Si 0.5000 0.8184 0.1816
8 Si 0.5000 0.1816 0.8184

Properties
M_tot: 0.000 Bohr magnetons per cell
Total DFT energy (no corrections): -9.55 eV/atom

---

No. 26
Si3P: single point on PBEsol structure, SCAN.

a b c (Å): 2.6894 2.6894 8.9492
angles (deg): 90.00 90.00 120.00
Atoms (fractional coordinates):
1 P 0.0000 0.0000 0.0000
2 Si 0.0000 0.0000 0.5000
3 Si 0.3333 0.6667 0.7517
4 Si 0.3333 0.6667 0.2483

Properties
M_tot: 0.000 Bohr magnetons per cell
Energy above the most stable polymorph in this dataset: 0.297 eV/atom